1.
A plane-wave DFT calculation with PBEsol was carried out for a geometry-optimized CaGeP2 structure.

a = 6.1821 Å, b = 6.1821 Å, c = 6.1821 Å
α = 114.51°, β = 114.51°, γ = 99.80°
Fractional coordinates of all 8 atoms:
Ca: 0.0000 0.0000 0.0000
Ca: 0.7500 0.2500 0.5000
Ge: 0.2500 0.7500 0.5000
Ge: 0.5000 0.5000 0.0000
P: 0.1907 0.1250 0.5657
P: 0.3750 0.8093 0.9343
P: 0.5593 0.6250 0.4343
P: 0.8750 0.4407 0.0657

Output
Calculated total energy: -5.1805 eV/atom
Space group: I-42d (122)
Formation energy: -517 meV/atom

2.
A plane-wave DFT calculation with PBEsol was carried out for a geometry-optimized CsYAl2 structure.

a = 5.4739 Å, b = 5.4739 Å, c = 5.4739 Å
α = 60.00°, β = 60.00°, γ = 60.00°
Fractional coordinates of all 4 atoms:
Cs: 0.0000 0.0000 0.0000
Y: 0.5000 0.5000 0.5000
Al: 0.2500 0.2500 0.2500
Al: 0.7500 0.7500 0.7500

Output
Calculated total energy: -3.5277 eV/atom
Space group: Fm-3m (225)
Density of states at the Fermi level: 0.98 states/eV per atom
Formation energy: 459 meV/atom

3.
A plane-wave DFT calculation with PBEsol was carried out for a geometry-optimized Sc2AgAu structure.

a = 4.6482 Å, b = 4.6482 Å, c = 4.6482 Å
α = 60.00°, β = 60.00°, γ = 60.00°
Fractional coordinates of all 4 atoms:
Sc: 0.0000 0.0000 0.0000
Sc: 0.2500 0.2500 0.2500
Ag: 0.7500 0.7500 0.7500
Au: 0.5000 0.5000 0.5000

Output
Calculated total energy: -5.5577 eV/atom
Space group: F-43m (216)
Formation energy: -446 meV/atom

4.
A plane-wave DFT calculation with PBEsol was carried out for a geometry-optimized Nb6PdPt structure.

a = 5.1463 Å, b = 5.1463 Å, c = 5.1463 Å
α = 90.00°, β = 90.00°, γ = 90.00°
Fractional coordinates of all 8 atoms:
Nb: 0.0000 0.2510 0.5000
Nb: 0.0000 0.7490 0.5000
Nb: 0.2510 0.5000 0.0000
Nb: 0.5000 0.0000 0.2510
Nb: 0.5000 0.0000 0.7490
Nb: 0.7490 0.5000 0.0000
Pd: 0.0000 0.0000 0.0000
Pt: 0.5000 0.5000 0.5000

Output
Calculated total energy: -10.0107 eV/atom
Space group: Pm-3 (200)
Density of states at the Fermi level: 1.05 states/eV per atom
Formation energy: -279 meV/atom

5.
A plane-wave DFT calculation with PBEsol was carried out for a geometry-optimized Zr2SnP2 structure.

a = 7.6800 Å, b = 7.6800 Å, c = 7.6800 Å
α = 153.02°, β = 153.02°, γ = 38.52°
Fractional coordinates of all 5 atoms:
Zr: 0.1168 0.1168 0.0000
Zr: 0.8832 0.8832 0.0000
Sn: 0.5000 0.5000 0.0000
P: 0.2500 0.7500 0.5000
P: 0.7500 0.2500 0.5000

Output
Calculated total energy: -7.6127 eV/atom
Space group: I4/mmm (139)
Density of states at the Fermi level: 0.52 states/eV per atom
Formation energy: -808 meV/atom

6.
A plane-wave DFT calculation with PBEsol was carried out for a geometry-optimized Cd2TePb structure.

a = 3.2305 Å, b = 3.2305 Å, c = 10.0669 Å
α = 90.00°, β = 90.00°, γ = 103.47°
Fractional coordinates of all 4 atoms:
Cd: 0.0000 0.0000 0.0000
Cd: 0.5000 0.5000 0.2127
Te: 0.0000 0.0000 0.4598
Pb: 0.5000 0.5000 0.7511

Output
Calculated total energy: -2.3994 eV/atom
Space group: Cmm2 (35)
Formation energy without anion corrections: 0.08 eV/atom
Density of states at the Fermi level: 0.42 states/eV per atom